A plane-wave DFT calculation with PBE-GGA was carried out for a geometry-optimized NdLuCuNi structure.

Cell: 4.8739 4.8739 4.8739 Å, 60.00 60.00 60.00°
Closest atoms and distances in Å follow each position.
Atoms (fractional coordinates):
Nd (0.0000, 0.0000, 0.0000)  4 Ni 2.98, 4 Cu 2.98
Lu (0.5000, 0.5000, 0.5000)  4 Ni 2.98, 4 Cu 2.98
Cu (0.2500, 0.2500, 0.2500)  4 Nd 2.98, 4 Lu 2.98
Ni (0.7500, 0.7500, 0.7500)  4 Nd 2.98, 4 Lu 2.98

Calculated values
The value obtained for the total energy is -5.073 eV per atom. The calculated volume is 81.87 Å³/f.u. As for the spin magnetization: 0.000 μB/atom. Its density of states at the Fermi level is 1.9 states/eV per cell. The energy relative to the elements comes out at -0.282 eV/atom.

A plane-wave DFT calculation with PBE-GGA was carried out for a geometry-optimized NdLuCuOs structure.

Cell: 4.8876 4.8876 4.8876 Å, 60.00 60.00 60.00°
Closest atoms and distances in Å follow each position.
Atoms (fractional coordinates):
Nd (0.0000, 0.0000, 0.0000)  4 Os 2.99, 4 Cu 2.99
Lu (0.5000, 0.5000, 0.5000)  4 Os 2.99, 4 Cu 2.99
Cu (0.2500, 0.2500, 0.2500)  4 Lu 2.99, 4 Nd 2.99
Os (0.7500, 0.7500, 0.7500)  4 Nd 2.99, 4 Lu 2.99

Calculated values
The value obtained for the total energy is -6.333 eV per atom. The calculated volume is 82.56 Å³/f.u. As for the spin magnetization: 0.000 μB/atom. Its density of states at the Fermi level is 3.0 states/eV per cell. The energy relative to the elements comes out at -0.179 eV/atom.

A plane-wave DFT calculation with PBE-GGA was carried out for a geometry-optimized NdLuCuPb structure.

Cell: 5.2433 5.2433 5.2433 Å, 60.00 60.00 60.00°
Closest atoms and distances in Å follow each position.
Atoms (fractional coordinates):
Nd (0.0000, 0.0000, 0.0000)  4 Cu 3.21, 4 Pb 3.21
Lu (0.5000, 0.5000, 0.5000)  4 Cu 3.21, 4 Pb 3.21
Cu (0.7500, 0.7500, 0.7500)  4 Nd 3.21, 4 Lu 3.21
Pb (0.2500, 0.2500, 0.2500)  4 Nd 3.21, 4 Lu 3.21

Calculated values
The value obtained for the total energy is -4.537 eV per atom. The calculated volume is 101.93 Å³/f.u. As for the spin magnetization: 0.001 μB/atom. Its density of states at the Fermi level is 4.0 states/eV per cell. The energy relative to the elements comes out at -0.264 eV/atom.